# MnTl2Zn

A geometry-optimized MnTl2Zn structure (PBE, Alexandria).

It has space group F-43m (No. 216), with a = 7.1560 Å, b = 7.1560 Å, c = 7.1560 Å, α = 90.00°, β = 90.00° and γ = 90.00°. The inequivalent atoms are Mn at (0.0000, 0.0000, 0.0000), Tl at (0.0000, 0.0000, 0.5000), Tl at (0.2500, 0.2500, 0.2500) and Zn at (0.2500, 0.2500, 0.7500).

The value obtained for the total energy is -3.310 eV/atom. Its magnetic moment is 4.03 μB per formula unit.